VASP calculation (GGA-PBE) on an optimized crystal structure of BPbI2.

Unit cell a=5.515 b=5.515 c=5.515 alpha=60.00 beta=60.00 gamma=60.00
Fractional positions:
Pb  0.500  0.500  0.500
I  0.250  0.250  0.250
I  0.750  0.750  0.750
B  0.000  0.000  0.000

## Properties
- uncorrected energy (eV/atom) = -2.490
- formation energy from raw total energies (eV per formula unit) = 3.525

---

VASP calculation (GGA-PBE) on an optimized crystal structure of Ba2NiSnH6.

Unit cell a=6.082 b=6.082 c=5.591 alpha=62.80 beta=62.79 gamma=99.42
Fractional positions:
Ba  0.751  0.249  0.500
Ba  0.249  0.751  0.500
Ni  0.500  0.500  0.000
Sn  0.000  0.000  0.000
H  0.291  0.291  0.413
H  0.708  0.708  0.998
H  0.331  0.669  0.000
H  0.669  0.331  0.000
H  0.292  0.292  0.002
H  0.709  0.709  0.587

## Properties
- uncorrected energy (eV/atom) = -3.661